(P)
The following is a DFT calculation (GGA-PBE) of an optimized crystal structure of RbBRh3.

a = 4.862 Å, b = 4.862 Å, c = 4.862 Å
α = 90.00°, β = 90.00°, γ = 90.00°
Site moments in Bohr magnetons follow the coordinates.
Positions (direct):
B (0.500, 0.500, 0.500)  -0.03
Rh (0.000, 0.500, 0.000)  0.76
Rh (0.000, 0.000, 0.500)  0.56
Rh (0.500, 0.000, 0.000)  0.70
Rb (0.000, 0.000, 0.000)  0.03

Computed properties:
Space group: Pm-3m (221)
Crystal system: cubic
Calculated density, g/cm³: 5.85

=====

(Q)
The following is a DFT calculation (GGA-PBE) of an optimized crystal structure of RbBRh3.

a = 4.323 Å, b = 4.323 Å, c = 4.323 Å
α = 90.00°, β = 90.00°, γ = 90.00°
Positions (direct):
B (0.000, 0.000, 0.000)
Rh (0.000, 0.500, 0.000)
Rh (0.000, 0.000, 0.500)
Rh (0.500, 0.000, 0.000)
Rb (0.500, 0.500, 0.500)

Computed properties:
Space group: Pm-3m (221)
Crystal system: cubic
Calculated density, g/cm³: 8.32

=====

Least stable = (P)

=====

(P)
The following is a DFT calculation (GGA-PBE) of an optimized crystal structure of RbB3Ru.

a = 4.244 Å, b = 4.244 Å, c = 4.244 Å
α = 90.00°, β = 90.00°, γ = 90.00°
Positions (direct):
Ru (0.000, 0.000, 0.000)
B (0.000, 0.500, 0.000)
B (0.000, 0.000, 0.500)
B (0.500, 0.000, 0.000)
Rb (0.500, 0.500, 0.500)

Computed properties:
Space group: Pm-3m (221)
Crystal system: cubic
Calculated density, g/cm³: 4.76

=====

(Q)
The following is a DFT calculation (GGA-PBE) of an optimized crystal structure of RbB3Ru.

a = 4.302 Å, b = 4.302 Å, c = 4.302 Å
α = 90.00°, β = 90.00°, γ = 90.00°
Positions (direct):
Ru (0.500, 0.500, 0.500)
B (0.000, 0.500, 0.000)
B (0.000, 0.000, 0.500)
B (0.500, 0.000, 0.000)
Rb (0.000, 0.000, 0.000)

Computed properties:
Space group: Pm-3m (221)
Crystal system: cubic
Calculated density, g/cm³: 4.57

=====

Least stable = (Q)